[1]
4
Lattice="-2.2299 4.6320 -0.8832 -3.1109 0.6508 -4.1360 -5.1392 0.5905 0.6692" Properties=species:S:1:pos:R:3 comment="LaDyZnAu | Alexandria | PBE-GGA | optimized geometry" mass_density_g_cm3=9.3 pbc="T T T"
La -2.6200 1.4683 -1.0875
Au -5.2400 2.9367 -2.1750
Zn 0.0000 0.0000 0.0000
Dy -7.8600 4.4050 -3.2625

---

[2]
4
Lattice="-1.2332 -0.6521 -3.3935 1.8437 -3.1716 -0.0606 -5.8868 -3.4757 2.8072" Properties=species:S:1:pos:R:3 comment="LaDyZnAu | Alexandria | PBE-GGA | optimized geometry" mass_density_g_cm3=9.4 pbc="T T T"
Zn -5.1873 -3.0627 2.4736
La -3.2949 -4.0374 -0.0103
Au -1.9189 -1.1330 0.9150
Dy -0.3379 -2.2916 -1.4203

---

The evaluated offset from the most stable computed form for the records listed, in turn: 29, 0 meV per atom.
The evaluated energy relative to the elements for the records listed, in turn: -0.55, -0.57 eV per atom.
The evaluated uncorrected energy for the records listed, in turn: -4.07, -4.09 eV per atom.